i) A plane-wave DFT calculation with PBE was carried out for crystalline CeDyC at its relaxed geometry.

abc: 3.172 3.172 12.034
angles: 90.00 90.00 90.00
Space group I4mm (No. 107)
Asymmetric unit:
1 Ce 0.000 0.000 0.000 x2
2 Dy 0.000 0.000 0.229 x2
3 C 0.000 0.000 0.615 x2

ii) A plane-wave DFT calculation with PBE was carried out for crystalline CeDyC at its relaxed geometry.

abc: 3.5468 3.5468 12.7778
angles: 90.00 90.00 120.00
Space group P6_3mc (No. 186)
Asymmetric unit:
1 Ce 0.3333 0.6667 0.0000 x2
2 Dy 0.0000 0.0000 0.2822 x2
3 C 0.3333 0.6667 0.3898 x2

i) is the least stable structure shown above.